--- a ---
DFT (GGA-PBEsol) results for a geometry-optimized CdW2Au structure.

Output
size of the total moment	0.0	μB per cell
calculated volume	131.5	Å³/cell

a b c (Å): 3.859 3.859 8.831
angles (deg): 90.00 90.00 90.00
Space group I4/mmm (No. 139)
Asymmetric unit:
1 Cd 0.000 0.000 0.000 x2
2 W 0.000 0.500 0.250 x4
3 Au 0.000 0.000 0.500 x2

---

--- b ---
DFT (GGA-PBEsol) results for a geometry-optimized CdW2Au structure.

Output
size of the total moment	0.0	μB per cell
calculated volume	66.0	Å³/cell

a b c (Å): 3.852 3.852 4.447
angles (deg): 90.00 90.00 90.00
Space group P4/mmm (No. 123)
Asymmetric unit:
1 Cd 0.000 0.000 0.000 x1
2 W 0.000 0.500 0.500 x2
3 Au 0.500 0.500 0.000 x1

---

Most stable of them? a.

---

--- a ---
DFT (GGA-PBEsol) results for a geometry-optimized ZnCdAu structure.

Output
size of the total moment	0.0	μB per cell
calculated volume	244.1	Å³/cell

a b c (Å): 6.250 6.250 6.250
angles (deg): 90.00 90.00 90.00
Space group F-43m (No. 216)
Asymmetric unit:
1 Zn 0.000 0.000 0.000 x4
2 Cd 0.250 0.250 0.250 x4
3 Au 0.000 0.000 0.500 x4

---

--- b ---
DFT (GGA-PBEsol) results for a geometry-optimized ZnCdAu structure.

Output
size of the total moment	0.0	μB per cell
calculated volume	51.2	Å³/cell

a b c (Å): 4.5104 4.5104 2.9035
angles (deg): 90.00 90.00 120.00
Space group P-6m2 (No. 187)
Asymmetric unit:
1 Zn 0.0000 0.0000 0.0000 x1
2 Cd 0.6667 0.3333 0.5000 x1
3 Au 0.3333 0.6667 0.0000 x1

---

--- c ---
DFT (GGA-PBEsol) results for a geometry-optimized ZnCdAu structure.

Output
size of the total moment	0.0	μB per cell
calculated volume	101.6	Å³/cell

a b c (Å): 2.988 2.988 11.379
angles (deg): 90.00 90.00 90.00
Space group I4mm (No. 107)
Asymmetric unit:
1 Zn 0.000 0.000 0.000 x2
2 Cd 0.000 0.000 0.328 x2
3 Au 0.000 0.000 0.646 x2

---

--- d ---
DFT (GGA-PBEsol) results for a geometry-optimized ZnCdAu structure.

Output
size of the total moment	0.0	μB per cell
calculated volume	242.4	Å³/cell

a b c (Å): 6.236 6.236 6.236
angles (deg): 90.00 90.00 90.00
Space group F-43m (No. 216)
Asymmetric unit:
1 Zn 0.000 0.000 0.000 x4
2 Cd 0.000 0.000 0.500 x4
3 Au 0.250 0.250 0.750 x4

---

Most stable of them? b.

---

--- a ---
DFT (GGA-PBEsol) results for a geometry-optimized ZnCdAu structure.

Output
size of the total moment	0.0	μB per cell
calculated volume	51.4	Å³/cell

a b c (Å): 2.9627 2.9627 6.7651
angles (deg): 90.00 90.00 120.00
Space group P3m1 (No. 156)
Asymmetric unit:
1 Zn 0.0000 0.0000 0.0000 x1
2 Cd 0.6667 0.3333 0.3385 x1
3 Au 0.3333 0.6667 0.6939 x1

---

--- b ---
DFT (GGA-PBEsol) results for a geometry-optimized ZnCdAu structure.

Output
size of the total moment	0.0	μB per cell
calculated volume	101.6	Å³/cell

a b c (Å): 3.199 3.498 9.082
angles (deg): 90.00 90.00 90.00
Space group Imm2 (No. 44)
Asymmetric unit:
1 Zn 0.000 0.000 0.000 x2
2 Cd 0.000 0.000 0.322 x2
3 Au 0.000 0.000 0.640 x2

---

Most stable of them? b.

---

--- a ---
DFT (GGA-PBEsol) results for a geometry-optimized Au2Cl structure.

Output
size of the total moment	0.0	μB per cell
calculated volume	63.8	Å³/cell

a b c (Å): 4.702 4.702 2.886
angles (deg): 90.00 90.00 90.00
Space group P4/mmm (No. 123)
Asymmetric unit:
1 Au 0.000 0.500 0.000 x2
2 Cl 0.000 0.000 0.500 x1

---

--- b ---
DFT (GGA-PBEsol) results for a geometry-optimized Au2Cl structure.

Output
size of the total moment	0.0	μB per cell
calculated volume	107.8	Å³/cell

a b c (Å): 4.6376 4.6376 5.7902
angles (deg): 90.00 90.00 120.00
Space group P6_3/mmc (No. 194)
Asymmetric unit:
1 Au 0.0000 0.0000 0.0000 x2
2 Au 0.3333 0.6667 0.2500 x2
3 Cl 0.3333 0.6667 0.7500 x2

---

Most stable of them? b.

---

--- a ---
DFT (GGA-PBEsol) results for a geometry-optimized CoAuCl2 structure.

Output
size of the total moment	0.0	μB per cell
calculated volume	154.6	Å³/cell

a b c (Å): 2.999 4.646 11.090
angles (deg): 90.00 90.00 90.00
Space group Immm (No. 71)
Asymmetric unit:
1 Co 0.000 0.000 0.000 x2
2 Au 0.000 0.000 0.500 x2
3 Cl 0.000 0.500 0.356 x4

---

--- b ---
DFT (GGA-PBEsol) results for a geometry-optimized CoAuCl2 structure.

Output
size of the total moment	3.0	μB per cell
calculated volume	75.5	Å³/cell

a b c (Å): 2.888 2.888 9.050
angles (deg): 90.00 90.00 90.00
Space group P4/mmm (No. 123)
Asymmetric unit:
1 Co 0.000 0.000 0.000 x1
2 Au 0.000 0.000 0.500 x1
3 Cl 0.500 0.500 0.163 x2

---

Most stable of them? a.

---

--- a ---
DFT (GGA-PBEsol) results for a geometry-optimized CoAuCl2 structure.

Output
size of the total moment	6.0	μB per cell
calculated volume	224.8	Å³/cell

a b c (Å): 2.8456 2.8456 32.0599
angles (deg): 90.00 90.00 120.00
Space group R-3m (No. 166, hexagonal axes)
Asymmetric unit:
1 Co 0.0000 0.0000 0.0000 x3
2 Au 0.0000 0.0000 0.5000 x3
3 Cl 0.0000 0.0000 0.0646 x6

---

--- b ---
DFT (GGA-PBEsol) results for a geometry-optimized CoAuCl2 structure.

Output
size of the total moment	2.7	μB per cell
calculated volume	222.7	Å³/cell

a b c (Å): 3.1041 3.1041 26.6922
angles (deg): 90.00 90.00 120.00
Space group R-3m (No. 166, hexagonal axes)
Asymmetric unit:
1 Co 0.0000 0.0000 0.0000 x3
2 Au 0.0000 0.0000 0.5000 x3
3 Cl 0.0000 0.0000 0.3841 x6

---

--- c ---
DFT (GGA-PBEsol) results for a geometry-optimized CoAuCl2 structure.

Output
size of the total moment	3.5	μB per cell
calculated volume	152.0	Å³/cell

a b c (Å): 3.497 5.561 7.818
angles (deg): 90.00 90.00 90.00
Space group Cmm2 (No. 35)
Asymmetric unit:
1 Co 0.000 0.000 0.000 x2
2 Au 0.000 0.500 0.227 x2
3 Cl 0.000 0.000 0.447 x2
4 Cl 0.000 0.500 0.835 x2

---

Most stable of them? b.

---

--- a ---
DFT (GGA-PBEsol) results for a geometry-optimized Cr2AuCl structure.

Output
size of the total moment	8.2	μB per cell
calculated volume	70.8	Å³/cell

a b c (Å): 3.163 4.256 5.260
angles (deg): 90.00 90.00 90.00
Space group Pmmm (No. 47)
Asymmetric unit:
1 Cr 0.000 0.000 0.000 x1
2 Cr 0.500 0.500 0.500 x1
3 Au 0.000 0.000 0.500 x1
4 Cl 0.500 0.500 0.000 x1

---

--- b ---
DFT (GGA-PBEsol) results for a geometry-optimized Cr2AuCl structure.

Output
size of the total moment	2.9	μB per cell
calculated volume	52.9	Å³/cell

a b c (Å): 2.818 2.818 6.660
angles (deg): 90.00 90.00 90.00
Space group P4/mmm (No. 123)
Asymmetric unit:
1 Cr 0.000 0.000 0.216 x2
2 Au 0.500 0.500 0.500 x1
3 Cl 0.500 0.500 0.000 x1

---

Most stable of them? a.

---

--- a ---
DFT (GGA-PBEsol) results for a geometry-optimized Cs2AuCl structure.

Output
size of the total moment	0.0	μB per cell
calculated volume	944.7	Å³/cell

a b c (Å): 7.856 7.856 15.305
angles (deg): 90.00 90.00 90.00
Space group I-42d (No. 122)
Asymmetric unit:
1 Cs 0.235 0.250 0.125 x8
2 Au 0.000 0.000 0.500 x4
3 Cl 0.000 0.000 0.000 x4

---

--- b ---
DFT (GGA-PBEsol) results for a geometry-optimized Cs2AuCl structure.

Output
size of the total moment	0.0	μB per cell
calculated volume	561.9	Å³/cell

a b c (Å): 8.252 8.252 8.252
angles (deg): 90.00 90.00 90.00
Space group Fm-3m (No. 225)
Asymmetric unit:
1 Cs 0.250 0.250 0.250 x8
2 Au 0.000 0.000 0.000 x4
3 Cl 0.000 0.000 0.500 x4

---

Most stable of them? b.

---

--- a ---
DFT (GGA-PBEsol) results for a geometry-optimized InAuCl structure.

Output
size of the total moment	0.0	μB per cell
calculated volume	304.2	Å³/cell

a b c (Å): 6.726 6.726 6.726
angles (deg): 90.00 90.00 90.00
Space group F-43m (No. 216)
Asymmetric unit:
1 In 0.000 0.000 0.000 x4
2 Au 0.000 0.000 0.500 x4
3 Cl 0.250 0.250 0.250 x4

---

--- b ---
DFT (GGA-PBEsol) results for a geometry-optimized InAuCl structure.

Output
size of the total moment	0.0	μB per cell
calculated volume	126.5	Å³/cell

a b c (Å): 3.383 3.383 11.052
angles (deg): 90.00 90.00 90.00
Space group I4mm (No. 107)
Asymmetric unit:
1 In 0.000 0.000 0.000 x2
2 Au 0.000 0.000 0.633 x2
3 Cl 0.000 0.000 0.324 x2

---

Most stable of them? b.

---

--- a ---
DFT (GGA-PBEsol) results for a geometry-optimized InAu2Cl structure.

Output
size of the total moment	0.0	μB per cell
calculated volume	161.9	Å³/cell

a b c (Å): 5.552 10.645 3.564
angles (deg): 90.00 129.77 90.00
Space group C2/m (No. 12)
Asymmetric unit:
1 In 0.000 0.000 0.000 x2
2 Au 0.250 0.250 0.000 x4
3 Cl 0.000 0.500 0.000 x2

---

--- b ---
DFT (GGA-PBEsol) results for a geometry-optimized InAu2Cl structure.

Output
size of the total moment	0.0	μB per cell
calculated volume	317.7	Å³/cell

a b c (Å): 6.824 6.824 6.824
angles (deg): 90.00 90.00 90.00
Space group F-43m (No. 216)
Asymmetric unit:
1 In 0.000 0.000 0.000 x4
2 Au 0.000 0.000 0.500 x4
3 Au 0.250 0.250 0.750 x4
4 Cl 0.250 0.250 0.250 x4

---

Most stable of them? a.

---

--- a ---
DFT (GGA-PBEsol) results for a geometry-optimized LiAuCl2 structure.

Output
size of the total moment	0.0	μB per cell
calculated volume	161.2	Å³/cell

a b c (Å): 3.667 3.602 12.205
angles (deg): 90.00 90.00 90.00
Space group Amm2 (No. 38)
Asymmetric unit:
1 Li 0.000 0.000 0.000 x2
2 Au 0.500 0.000 0.718 x2
3 Cl 0.000 0.000 0.218 x2
4 Cl 0.500 0.000 0.482 x2

---

--- b ---
DFT (GGA-PBEsol) results for a geometry-optimized LiAuCl2 structure.

Output
size of the total moment	0.0	μB per cell
calculated volume	248.8	Å³/cell

a b c (Å): 3.6466 3.6466 21.6039
angles (deg): 90.00 90.00 120.00
Space group R-3m (No. 166, hexagonal axes)
Asymmetric unit:
1 Li 0.0000 0.0000 0.0000 x3
2 Au 0.0000 0.0000 0.5000 x3
3 Cl 0.0000 0.0000 0.3949 x6

---

Most stable of them? b.

---

--- a ---
DFT (GGA-PBEsol) results for a geometry-optimized MoAu2Cl structure.

Output
size of the total moment	0.5	μB per cell
calculated volume	70.2	Å³/cell

a b c (Å): 5.099 5.099 2.699
angles (deg): 90.00 90.00 90.00
Space group P4/mmm (No. 123)
Asymmetric unit:
1 Mo 0.000 0.000 0.000 x1
2 Au 0.000 0.500 0.500 x2
3 Cl 0.500 0.500 0.000 x1

---

--- b ---
DFT (GGA-PBEsol) results for a geometry-optimized MoAu2Cl structure.

Output
size of the total moment	2.0	μB per cell
calculated volume	144.9	Å³/cell

a b c (Å): 2.775 4.261 12.254
angles (deg): 90.00 90.00 90.00
Space group Immm (No. 71)
Asymmetric unit:
1 Mo 0.000 0.000 0.000 x2
2 Au 0.000 0.500 0.302 x4
3 Cl 0.000 0.000 0.500 x2

---

Most stable of them? b.

---

--- a ---
DFT (GGA-PBEsol) results for a geometry-optimized NaAuCl2 structure.

Output
size of the total moment	0.0	μB per cell
calculated volume	326.2	Å³/cell

a b c (Å): 4.1564 4.1564 21.8051
angles (deg): 90.00 90.00 120.00
Space group R-3m (No. 166, hexagonal axes)
Asymmetric unit:
1 Na 0.0000 0.0000 0.0000 x3
2 Au 0.0000 0.0000 0.5000 x3
3 Cl 0.0000 0.0000 0.3966 x6

---

--- b ---
DFT (GGA-PBEsol) results for a geometry-optimized NaAuCl2 structure.

Output
size of the total moment	0.0	μB per cell
calculated volume	418.9	Å³/cell

a b c (Å): 5.517 5.517 13.763
angles (deg): 90.00 90.00 90.00
Space group I-42d (No. 122)
Asymmetric unit:
1 Na 0.000 0.000 0.000 x4
2 Au 0.000 0.000 0.500 x4
3 Cl 0.225 0.250 0.625 x8

---

Most stable of them? a.